# 1
80
Lattice="-8.532 8.532 8.532 8.532 -8.532 8.532 8.532 8.532 -8.532" Properties=species:S:1:pos:R:3 comment="PBE La3Ho5Se12, relaxed" dos_ef_per_ev_atom=0.0000 space_group="Ia-3d, No. 230" raw_formation_energy_mev_per_atom=-1799 pbc="T T T"
La 4.266 2.133 0.000
La 8.532 4.266 -2.133
La 2.133 0.000 4.266
La 10.665 0.000 4.266
La 0.000 4.266 2.133
La 4.266 -2.133 8.532
La 4.266 10.665 0.000
La 8.532 4.266 6.399
La -2.133 8.532 4.266
La 6.399 8.532 4.266
La 0.000 4.266 10.665
La 4.266 6.399 8.532
Ho 0.000 0.000 0.000
Ho 4.266 4.266 -4.266
Ho 4.266 -4.266 4.266
Ho 8.532 0.000 0.000
Ho 12.798 2.133 0.000
Ho 8.532 -4.266 6.399
Ho 6.399 8.532 -4.266
Ho 6.399 0.000 4.266
Ho 4.266 6.399 0.000
Ho 8.532 4.266 2.133
Ho -4.266 4.266 4.266
Ho 0.000 8.532 0.000
Ho 0.000 0.000 8.532
Ho 4.266 4.266 4.266
Ho 0.000 4.266 6.399
Ho 4.266 2.133 8.532
Ho 2.133 8.532 4.266
Ho 2.133 0.000 12.798
Ho 0.000 12.798 2.133
Ho -4.266 6.399 8.532
Se 2.588 -0.392 1.142
Se 10.210 5.409 -4.658
Se 8.140 -1.142 2.588
Se 13.190 -1.678 3.124
Se 11.120 0.392 1.142
Se 10.210 -3.124 4.658
Se 1.142 2.588 -0.392
Se 11.656 3.874 -1.678
Se 5.409 4.658 -1.678
Se 7.390 2.588 0.392
Se -0.392 1.142 2.588
Se 4.658 -1.678 5.409
Se 8.140 7.390 -2.588
Se 4.658 1.678 3.124
Se 7.390 -2.588 8.140
Se 5.409 -4.658 10.210
Se 3.124 4.658 1.678
Se 9.675 5.944 0.392
Se 2.588 8.140 -1.142
Se 10.210 3.124 3.874
Se 4.658 10.210 -3.124
Se 8.140 1.142 5.944
Se 1.678 3.124 4.658
Se 2.588 0.392 7.390
Se 5.944 8.140 1.142
Se 6.854 5.409 3.874
Se 0.392 7.390 2.588
Se 3.874 -1.678 11.656
Se -1.678 5.409 4.658
Se 5.944 0.392 9.675
Se -1.142 2.588 8.140
Se 5.409 3.874 6.854
Se 3.124 13.190 -1.678
Se 1.142 11.120 0.392
Se 3.874 6.854 5.409
Se 0.392 1.142 11.120
Se 3.874 10.210 3.124
Se 8.924 7.390 5.944
Se 1.142 5.944 8.140
Se 3.124 3.874 10.210
Se -3.124 4.658 10.210
Se 7.390 5.944 8.924
Se -1.678 11.656 3.874
Se -2.588 8.140 7.390
Se -4.658 10.210 5.409
Se 0.392 9.675 5.944
Se -1.678 3.124 13.190
Se 5.944 8.924 7.390

***

# 2
5
Lattice="-2.512 2.512 4.332 2.512 -2.512 4.332 2.512 2.512 -4.332" Properties=species:S:1:pos:R:3 comment="PBE SrSi2As2, relaxed" dos_ef_per_ev_atom=0.1593 space_group="I4/mmm, No. 139" raw_formation_energy_mev_per_atom=-239 pbc="T T T"
Sr 0.000 0.000 0.000
Si 0.000 0.000 3.056
Si 0.000 0.000 5.608
As 2.512 0.000 2.166
As 0.000 2.512 2.166

***

# 3
20
Lattice="9.510 0.000 0.000 0.000 9.510 0.000 0.000 0.000 3.090" Properties=species:S:1:pos:R:3 comment="PBE Er2MnB2Ru5, relaxed" dos_ef_per_ev_atom=0.6993 space_group="P4/mbm, No. 127" delta_e_f_ev_per_atom=-0.402 pbc="T T T"
Er 1.671 3.084 0.000
Er 3.084 7.839 0.000
Er 6.426 1.671 0.000
Er 7.839 6.426 0.000
Mn 0.000 0.000 0.000
Mn 4.755 4.755 0.000
B 1.171 5.926 0.000
B 3.584 1.171 0.000
B 5.926 8.339 0.000
B 8.339 3.584 0.000
Ru 0.000 4.755 1.545
Ru 0.664 7.467 1.545
Ru 2.044 0.664 1.545
Ru 2.712 5.419 1.545
Ru 4.091 2.712 1.545
Ru 4.755 0.000 1.545
Ru 5.419 6.799 1.545
Ru 6.799 4.091 1.545
Ru 7.467 8.846 1.545
Ru 8.846 2.044 1.545

***

# 4
6
Lattice="4.680 0.000 0.000 0.000 4.680 0.000 0.000 0.000 7.373" Properties=species:S:1:pos:R:3 comment="PBE SrCuSb, relaxed" dos_ef_per_ev_atom=0.6475 space_group="P4/nmm, No. 129" raw_formation_energy_mev_per_atom=45 pbc="T T T"
Sr 1.170 3.510 0.000
Sr 3.510 1.170 0.000
Cu 1.170 1.170 2.377
Cu 3.510 3.510 4.996
Sb 1.170 1.170 4.969
Sb 3.510 3.510 2.405

***

# 5
5
Lattice="5.517 0.000 0.000 0.000 5.517 0.000 0.000 0.000 4.747" Properties=species:S:1:pos:R:3 comment="PBE AlIrCI2, relaxed" dos_ef_per_ev_atom=1.5383 space_group="P4/mmm, No. 123" raw_formation_energy_mev_per_atom=2087 pbc="T T T"
Al 0.000 0.000 0.000
Ir 0.000 0.000 2.374
C 2.758 2.758 2.374
I 0.000 2.758 0.000
I 2.758 0.000 0.000

***

# 6
4
Lattice="1.431 0.826 9.507 -1.431 0.826 9.507 0.000 -1.652 9.507" Properties=species:S:1:pos:R:3 comment="PBE Ta2IrW, relaxed" dos_ef_per_ev_atom=0.8185 polymorph_energy_mev_per_atom=355 space_group="R-3m, No. 166" delta_e_f_ev_per_atom=0.026 pbc="T T T"
Ta 0.000 0.000 7.013
Ta 0.000 0.000 21.508
Ir 0.000 0.000 14.260
W 0.000 0.000 0.000

***

# 7
5
Lattice="5.917 0.000 0.000 0.000 5.917 0.000 0.000 0.000 4.865" Properties=species:S:1:pos:R:3 comment="PBE Sr2TiCuAu, relaxed" dos_ef_per_ev_atom=1.9120 space_group="P4/mmm, No. 123" delta_e_f_ev_per_atom=0.531 pbc="T T T"
Sr 0.000 2.959 0.000
Sr 2.959 0.000 0.000
Ti 0.000 0.000 2.433
Cu 2.959 2.959 2.433
Au 2.959 2.959 0.000

***

# 8
10
Lattice="5.563 -2.447 0.000 5.563 2.447 0.000 -2.586 0.000 8.612" Properties=species:S:1:pos:R:3 comment="PBE Ce3GaPt, relaxed" dos_ef_per_ev_atom=2.2987 polymorph_energy_mev_per_atom=5 space_group="C2/m, No. 12" delta_e_f_ev_per_atom=-0.568 pbc="T T T"
Ce -0.675 0.000 2.759
Ce 0.837 0.000 6.151
Ce 4.212 0.000 0.963
Ce 4.329 0.000 7.649
Ce 7.704 0.000 2.462
Ce 9.215 0.000 5.854
Ga 2.998 0.000 3.984
Ga 5.542 0.000 4.629
Pt 1.325 0.000 0.647
Pt 7.216 0.000 7.966

***

# 9
4
Lattice="1.857 1.072 10.827 -1.857 1.072 10.827 0.000 -2.144 10.827" Properties=species:S:1:pos:R:3 comment="PBE RbNd2N, relaxed" dos_ef_per_ev_atom=1.0189 space_group="R-3m, No. 166" raw_formation_energy_mev_per_atom=-437 pbc="T T T"
Rb 0.000 0.000 0.000
Nd 0.000 0.000 4.064
Nd 0.000 0.000 28.416
N 0.000 0.000 16.240

***

# 10
19
Lattice="5.969 3.446 5.026 -5.969 3.446 5.026 0.000 -6.893 5.026" Properties=species:S:1:pos:R:3 comment="PBE Nd6Ho12Sc, relaxed" dos_ef_per_ev_atom=1.5559 space_group="R-3, No. 148" delta_e_f_ev_per_atom=0.149 pbc="T T T"
Nd -3.367 -0.805 7.696
Nd -0.986 -3.318 7.381
Nd -2.381 2.513 7.381
Nd 2.381 -2.513 7.696
Nd 0.986 3.318 7.696
Nd 3.367 0.805 7.381
Ho -5.385 1.485 6.315
Ho -3.979 -3.921 8.762
Ho -2.018 0.179 4.674
Ho 1.406 -5.406 6.315
Ho 0.854 -1.837 4.674
Ho 1.164 1.659 4.674
Ho -1.164 -1.659 10.403
Ho -0.854 1.837 10.403
Ho -1.406 5.406 8.762
Ho 2.018 -0.179 10.403
Ho 3.979 3.921 6.315
Ho 5.385 -1.485 8.762
Sc 0.000 0.000 7.539

***

# 11
20
Lattice="8.080 4.665 3.609 -8.080 4.665 3.609 0.000 -9.329 3.609" Properties=species:S:1:pos:R:3 comment="PBE Ce7RhI12, relaxed" dos_ef_per_ev_atom=2.9100 space_group="R-3, No. 148" raw_formation_energy_mev_per_atom=-1175 pbc="T T T"
Ce 0.000 0.000 0.000
Ce -1.645 -1.628 3.760
Ce -0.587 2.239 3.760
Ce 2.233 -0.611 3.760
Ce -2.233 0.611 7.067
Ce 0.587 -2.239 7.067
Ce 1.645 1.628 7.067
Rh 0.000 0.000 5.413
I -2.603 0.719 1.733
I 0.679 -2.614 1.733
I -4.394 -1.121 5.361
I -1.227 -4.366 5.465
I 1.925 1.895 1.733
I -3.168 3.245 5.465
I 3.168 -3.245 5.361
I -1.925 -1.895 9.093
I 1.227 4.366 5.361
I 4.394 1.121 5.465
I -0.679 2.614 9.093
I 2.603 -0.719 9.093

***

# 12
4
Lattice="1.840 1.062 4.598 -1.840 1.062 4.598 0.000 -2.125 4.598" Properties=species:S:1:pos:R:3 comment="PBE HoB2Ir, relaxed" dos_ef_per_ev_atom=0.5522 space_group="R-3m, No. 166" delta_e_f_ev_per_atom=-0.455 pbc="T T T"
Ho 0.000 0.000 0.000
B 0.000 0.000 2.832
B 0.000 0.000 10.962
Ir 0.000 0.000 6.897

***

# 13
4
Lattice="-1.674 2.006 7.137 1.674 -2.006 7.137 1.674 2.006 -7.137" Properties=species:S:1:pos:R:3 comment="PBE NiHgSb2, relaxed" dos_ef_per_ev_atom=0.4500 space_group="Imm2, No. 44" raw_formation_energy_mev_per_atom=78 pbc="T T T"
Ni 0.000 0.000 0.000
Hg 0.000 2.006 4.005
Sb 1.674 0.000 1.940
Sb 0.000 0.000 6.508

***

# 14
5
Lattice="4.127 0.000 0.000 0.000 4.127 0.000 0.000 0.000 6.662" Properties=species:S:1:pos:R:3 comment="PBE Au2IOF, relaxed" dos_ef_per_ev_atom=0.9849 space_group="P4/mmm, No. 123" raw_formation_energy_mev_per_atom=241 pbc="T T T"
Au 0.000 2.064 0.000
Au 2.064 0.000 0.000
I 0.000 0.000 3.331
O 0.000 0.000 0.000
F 2.064 2.064 3.331

***

# 15
5
Lattice="5.296 0.000 0.000 0.000 5.296 0.000 0.000 0.000 5.654" Properties=species:S:1:pos:R:3 comment="PBE Te2PHI, relaxed" dos_ef_per_ev_atom=0.9050 polymorph_energy_mev_per_atom=154 space_group="P4/mmm, No. 123" pbc="T T T"
Te 0.000 2.648 0.000
Te 2.648 0.000 0.000
P 0.000 0.000 0.000
H 2.648 2.648 2.827
I 0.000 0.000 2.827

***

# 16
13
Lattice="0.000 6.418 6.450 2.656 0.000 6.450 2.656 6.418 0.000" Properties=species:S:1:pos:R:3 comment="PBE HoAl10V2, relaxed" dos_ef_per_ev_atom=0.5457 space_group="Fmmm, No. 69" delta_e_f_ev_per_atom=-0.187 pbc="T T T"
Ho 0.000 0.000 0.000
Al 1.328 0.000 3.225
Al 2.656 2.339 4.281
Al 2.656 4.980 5.074
Al 2.656 2.339 8.619
Al 2.656 4.980 7.826
Al 1.328 6.418 3.225
Al 2.656 7.855 5.074
Al 2.656 10.496 4.281
Al 2.656 7.855 7.826
Al 2.656 10.496 8.619
V 1.328 3.209 0.000
V 1.328 3.209 6.450

***

# 17
5
Lattice="-1.982 1.982 5.765 1.982 -1.982 5.765 1.982 1.982 -5.765" Properties=species:S:1:pos:R:3 comment="PBE YMn2Rh2, relaxed" dos_ef_per_ev_atom=0.9263 polymorph_energy_mev_per_atom=0 space_group="I4/mmm, No. 139" delta_e_f_ev_per_atom=-0.249 pbc="T T T"
Y 0.000 0.000 0.000
Mn 1.982 0.000 2.882
Mn 0.000 1.982 2.882
Rh 0.000 0.000 4.481
Rh 0.000 0.000 7.048

***

# 18
5
Lattice="5.491 0.000 0.000 0.000 5.491 0.000 0.000 0.000 5.491" Properties=species:S:1:pos:R:3 comment="PBE HfIn3Pd, relaxed" dos_ef_per_ev_atom=0.7998 polymorph_energy_mev_per_atom=579 space_group="Pm-3m, No. 221" delta_e_f_ev_per_atom=0.923 pbc="T T T"
Hf 0.000 0.000 0.000
In 0.000 0.000 2.745
In 0.000 2.745 0.000
In 2.745 0.000 0.000
Pd 2.745 2.745 2.745

***

# 19
6
Lattice="3.422 0.000 0.000 0.000 3.509 0.000 -0.370 0.000 10.954" Properties=species:S:1:pos:R:3 comment="PBE PaCCl, relaxed" dos_ef_per_ev_atom=0.3081 polymorph_energy_mev_per_atom=164 space_group="P2_1/m, No. 11" raw_formation_energy_mev_per_atom=-882 pbc="T T T"
Pa 0.670 0.877 4.052
Pa 2.382 2.632 6.902
C 0.669 0.877 6.390
C 2.383 2.632 4.564
Cl 0.670 2.632 9.083
Cl 2.381 0.877 1.871

***

# 20
20
Lattice="5.308 -6.559 0.000 5.308 6.559 0.000 0.000 0.000 6.558" Properties=species:S:1:pos:R:3 comment="PBE Dy3CrS6, relaxed" dos_ef_per_ev_atom=0.1531 polymorph_energy_mev_per_atom=100 space_group="Cmc2_1, No. 36" raw_formation_energy_mev_per_atom=-1634 pbc="T T T"
Dy 5.308 5.249 3.279
Dy 3.356 1.317 2.727
Dy 3.356 -1.317 6.006
Dy 7.260 1.317 2.727
Dy 7.260 -1.317 6.006
Dy 5.308 -5.249 0.000
Cr 5.308 2.547 5.772
Cr 5.308 -2.547 2.493
S 3.588 3.439 4.613
S 1.724 0.361 4.640
S 1.724 -0.361 1.361
S 5.308 2.893 1.503
S 7.029 3.439 4.613
S 5.308 0.509 4.683
S 5.308 -0.509 1.404
S 3.588 -3.439 1.335
S 5.308 -2.893 4.782
S 8.892 0.361 4.640
S 8.892 -0.361 1.361
S 7.029 -3.439 1.335

***

In the order shown, the computed electronic total energy values come out to -5.77 -4.60 -8.21 -3.25 -2.90 -11.35 -3.19 -5.94 -5.14 -4.58 -4.55 -7.15 -3.50 -2.75 -2.46 -4.82 -8.15 -3.75 -7.74 -6.45 eV per atom.